## P
Below is BeTc after structural relaxation, with properties calculated at the PBE level.

Cell lengths 2.6808, 2.6808, 7.8187 Å; angles 90.00, 90.00, 120.00 degrees
Space group P6_3/mmc (No. 194)
Asymmetric unit:
Be1 0.3333 0.6667 0.2500 [2 per cell]
Tc1 0.0000 0.0000 0.0000 [2 per cell]


## Q
Below is BeTc after structural relaxation, with properties calculated at the PBE level.

Cell lengths 3.1768, 3.1768, 15.4171 Å; angles 90.00, 90.00, 120.00 degrees
Space group R-3m (No. 166, hexagonal axes)
Asymmetric unit:
Be1 0.0000 0.0000 0.1694 [6 per cell]
Tc1 0.0000 0.0000 0.4004 [6 per cell]


## R
Below is BeTc after structural relaxation, with properties calculated at the PBE level.

Cell lengths 8.4050, 8.4050, 2.8062 Å; angles 90.00, 90.00, 90.00 degrees
Space group I4/m (No. 87)
Asymmetric unit:
Be1 0.0772 0.8438 0.0000 [8 per cell]
Tc1 0.1239 0.3491 0.0000 [8 per cell]


Which structure loses on stability? R does.


## P
Below is BeTc after structural relaxation, with properties calculated at the PBE level.

Cell lengths 2.7460, 2.7460, 7.4523 Å; angles 90.00, 90.00, 120.00 degrees
Space group P-3m1 (No. 164)
Asymmetric unit:
Be1 0.3333 0.6667 0.1063 [2 per cell]
Tc1 0.3333 0.6667 0.6392 [2 per cell]


## Q
Below is BeTc after structural relaxation, with properties calculated at the PBE level.

Cell lengths 3.0099, 3.9475, 7.6866 Å; angles 90.00, 90.00, 90.00 degrees
Space group Imma (No. 74)
Asymmetric unit:
Be1 0.0000 0.2500 0.1451 [4 per cell]
Tc1 0.0000 0.2500 0.6128 [4 per cell]


## R
Below is BeTc after structural relaxation, with properties calculated at the PBE level.

Cell lengths 6.1230, 6.1230, 6.1230 Å; angles 90.00, 90.00, 90.00 degrees
Space group Pm-3n (No. 223)
Asymmetric unit:
Be1 0.0000 0.2500 0.5000 [6 per cell]
Tc1 0.0000 0.5000 0.2500 [6 per cell]


Which structure loses on stability? R does.


## P
Below is BeTc after structural relaxation, with properties calculated at the PBE level.

Cell lengths 3.1175, 4.0996, 3.7018 Å; angles 90.00, 90.00, 90.00 degrees
Space group Cmmm (No. 65)
Asymmetric unit:
Be1 0.0000 0.0000 0.0000 [2 per cell]
Tc1 0.0000 0.5000 0.5000 [2 per cell]


## Q
Below is BeTc after structural relaxation, with properties calculated at the PBE level.

Cell lengths 2.6906, 2.6906, 23.7619 Å; angles 90.00, 90.00, 120.00 degrees
Space group R-3m (No. 166, hexagonal axes)
Asymmetric unit:
Be1 0.0000 0.0000 0.1278 [6 per cell]
Tc1 0.0000 0.0000 0.3782 [6 per cell]


Which structure loses on stability? Q does.